[1]
## Sb3RhPb (PBE)

Data for Sb3RhPb after structural relaxation.

Output
Space group: No. 221
Theoretical density in g cm⁻³: 7.9
Energy relative to the elements, uncorrected in eV per atom: 0.2308
DFT total energy in eV per atom: -4.45
D(E_F) in states/eV/f.u.: 6.06
Calculated volume in A^3/atom: 28.53
Energy above the lowest structure with this stoichiometry in meV per atom: 0
M_tot in μB/f.u.: 0.00

extended XYZ file:
```
5
Lattice="-0.952 -3.078 4.113 4.315 -2.750 -1.058 2.788 3.204 3.043" Properties=species:S:1:pos:R:3 pbc="T T T"
Rh 0.000 0.000 0.000
Sb 1.394 1.602 1.522
Pb 3.075 -1.312 3.049
Sb -0.476 -1.539 2.057
Sb 2.157 -1.375 -0.529
```

---

[2]
## Sb2Rh2Pb (PBE)

Data for Sb2Rh2Pb after structural relaxation.

Output
Space group: No. 139
Theoretical density in g cm⁻³: 9.5
Energy relative to the elements, uncorrected in eV per atom: -0.0669
DFT total energy in eV per atom: -5.40
D(E_F) in states/eV/f.u.: 3.92
Calculated volume in A^3/atom: 22.89
Energy above the lowest structure with this stoichiometry in meV per atom: 140
M_tot in μB/f.u.: 0.00

extended XYZ file:
```
5
Lattice="4.734 0.000 0.000 0.000 4.734 0.000 2.367 2.367 5.107" Properties=species:S:1:pos:R:3 pbc="T T T"
Pb 0.000 0.000 0.000
Rh 2.367 2.367 1.348
Sb 2.367 4.734 2.553
Sb 4.734 2.367 2.553
Rh 4.734 4.734 3.759
```